Entry from Alexandria: a relaxed AcDy5Er crystal (PBE).

The structure in POSCAR format:
```
AcDy5Er
1.0
5.9036 -3.3926 0.0000
5.9036 3.3926 0.0000
-4.2387 0.0000 11.7416
Ac Dy Er
2 10 2
direct
0.0000 0.5000 0.0000 Ac
0.5000 0.0000 0.5000 Ac
0.0820 0.9180 0.2500 Dy
0.0858 0.3656 0.2597 Dy
0.1577 0.7037 0.5033 Dy
0.2963 0.8423 0.9967 Dy
0.3656 0.0858 0.7597 Dy
0.6344 0.9142 0.2403 Dy
0.7037 0.1577 0.0033 Dy
0.8423 0.2963 0.4967 Dy
0.9142 0.6344 0.7403 Dy
0.9180 0.0820 0.7500 Dy
0.4646 0.5354 0.7500 Er
0.5354 0.4646 0.2500 Er
```

Uncorrected energy   -4.331 eV/atom
Energy of formation   0.19 eV per atom
Crystal system   monoclinic

Entry from Alexandria: a relaxed AcDy4Er3 crystal (PBE).

The structure in POSCAR format:
```
AcDy4Er3
1.0
-1.7691 5.8043 6.5093
1.7691 -5.8043 6.5093
1.7691 5.8043 -6.5093
Ac Dy Er
1 4 3
direct
0.0000 0.0000 0.0000 Ac
0.1219 0.3622 0.7597 Dy
0.3974 0.6378 0.7597 Dy
0.6026 0.3622 0.2403 Dy
0.8781 0.6378 0.2403 Dy
0.2627 0.7627 0.5000 Er
0.5000 0.5000 0.0000 Er
0.7373 0.2373 0.5000 Er
```

Uncorrected energy   -4.400 eV/atom
Energy of formation   0.13 eV per atom
Crystal system   orthorhombic

Entry from Alexandria: a relaxed AcDy6Er3 crystal (PBE).

The structure in POSCAR format:
```
AcDy6Er3
1.0
4.8995 2.8287 4.0344
-4.8995 2.8287 4.0344
0.0000 -5.6574 4.0344
Ac Dy Er
1 6 3
direct
0.0000 0.0000 0.0000 Ac
0.0006 0.3484 0.6524 Dy
0.1645 0.8366 0.5006 Dy
0.3484 0.6524 0.0006 Dy
0.5006 0.1645 0.8366 Dy
0.6524 0.0006 0.3484 Dy
0.8366 0.5006 0.1645 Dy
0.2610 0.2610 0.2610 Er
0.4998 0.4998 0.4998 Er
0.7383 0.7383 0.7383 Er
```

Uncorrected energy   -4.231 eV/atom
Energy of formation   0.31 eV per atom
Crystal system   trigonal

Entry from Alexandria: a relaxed AcDyEr4 crystal (PBE).

The structure in POSCAR format:
```
AcDyEr4
1.0
5.6865 0.0000 0.0000
-2.8432 4.9246 0.0000
0.0000 0.0000 6.9840
Ac Dy Er
1 1 4
direct
0.0000 0.0000 0.0000 Ac
0.0000 0.0000 0.5000 Dy
0.3333 0.6667 0.2580 Er
0.3333 0.6667 0.7420 Er
0.6667 0.3333 0.2580 Er
0.6667 0.3333 0.7420 Er
```

Uncorrected energy   -4.412 eV/atom
Energy of formation   0.08 eV per atom
Crystal system   hexagonal
Energy above the most stable polymorph in this dataset   18 meV per atom

Entry from Alexandria: a relaxed AcDy3Er3 crystal (PBE).

The structure in POSCAR format:
```
AcDy3Er3
1.0
-6.2116 6.2116 6.2116
6.2116 -6.2116 6.2116
6.2116 6.2116 -6.2116
Ac Dy Er
4 12 12
direct
0.0000 0.0000 0.2621 Ac
0.0000 0.2621 0.0000 Ac
0.2621 0.0000 0.0000 Ac
0.7379 0.7379 0.7379 Ac
0.0000 0.6053 0.8049 Dy
0.0000 0.8049 0.6053 Dy
0.1951 0.1951 0.8004 Dy
0.1951 0.8004 0.1951 Dy
0.1996 0.3947 0.3947 Dy
0.3947 0.1996 0.3947 Dy
0.3947 0.3947 0.1996 Dy
0.6053 0.0000 0.8049 Dy
0.6053 0.8049 0.0000 Dy
0.8004 0.1951 0.1951 Dy
0.8049 0.0000 0.6053 Dy
0.8049 0.6053 0.0000 Dy
0.0000 0.3056 0.5700 Er
0.0000 0.5700 0.3056 Er
0.2644 0.6944 0.6944 Er
0.3056 0.0000 0.5700 Er
0.3056 0.5700 0.0000 Er
0.4300 0.4300 0.7356 Er
0.4300 0.7356 0.4300 Er
0.5700 0.0000 0.3056 Er
0.5700 0.3056 0.0000 Er
0.6944 0.2644 0.6944 Er
0.6944 0.6944 0.2644 Er
0.7356 0.4300 0.4300 Er
```

Uncorrected energy   -4.272 eV/atom
Energy of formation   0.24 eV per atom
Crystal system   cubic

Entry from Alexandria: a relaxed AcDy8Er3 crystal (PBE).

The structure in POSCAR format:
```
AcDy8Er3
1.0
-5.4581 5.6819 3.1473
5.4581 -5.6819 3.1473
5.4581 5.6819 -3.1473
Ac Dy Er
1 8 3
direct
0.0000 0.0000 0.0000 Ac
0.4202 0.3331 0.4227 Dy
0.4202 0.9975 0.0871 Dy
0.4955 0.3253 0.8299 Dy
0.4955 0.6656 0.1701 Dy
0.9104 0.3331 0.9129 Dy
0.9104 0.9975 0.5773 Dy
0.9983 0.3352 0.3369 Dy
0.9983 0.6614 0.6631 Dy
0.4085 0.6616 0.7469 Er
0.4957 0.9957 0.5000 Er
0.9147 0.6616 0.2531 Er
```

Uncorrected energy   -4.526 eV/atom
Energy of formation   0.02 eV per atom
Crystal system   orthorhombic

Entry from Alexandria: a relaxed AcDy4Er4 crystal (PBE).

The structure in POSCAR format:
```
AcDy4Er4
1.0
6.7865 0.0000 0.0000
2.0566 8.4518 0.0000
2.8443 1.5766 10.2148
Ac Dy Er
2 8 8
direct
0.2465 0.0293 0.2852 Ac
0.7535 0.9707 0.7148 Ac
0.2509 0.0268 0.9500 Dy
0.2646 0.0263 0.6229 Dy
0.4157 0.3364 0.7099 Dy
0.4223 0.3380 0.3741 Dy
0.5777 0.6620 0.6259 Dy
0.5843 0.6636 0.2901 Dy
0.7354 0.9737 0.3771 Dy
0.7491 0.9732 0.0500 Dy
0.1102 0.6561 0.2040 Er
0.1139 0.6540 0.5387 Er
0.1171 0.6592 0.8734 Er
0.4210 0.3364 0.0386 Er
0.5790 0.6636 0.9614 Er
0.8829 0.3408 0.1266 Er
0.8861 0.3460 0.4613 Er
0.8898 0.3439 0.7960 Er
```

Uncorrected energy   -4.476 eV/atom
Energy of formation   0.05 eV per atom
Crystal system   triclinic

Entry from Alexandria: a relaxed AcDy4Er8 crystal (PBE).

The structure in POSCAR format:
```
AcDy4Er8
1.0
5.0597 -3.4888 0.0000
5.0597 3.4888 0.0000
-3.1725 0.0000 11.8862
Ac Dy Er
1 4 8
direct
0.0000 0.0000 0.0000 Ac
0.2579 0.7421 0.5000 Dy
0.2844 0.2844 0.6454 Dy
0.7156 0.7156 0.3546 Dy
0.7421 0.2579 0.5000 Dy
0.1741 0.6468 0.2117 Er
0.1935 0.1935 0.3466 Er
0.3486 0.3486 0.9372 Er
0.3532 0.8259 0.7883 Er
0.6468 0.1741 0.2117 Er
0.6514 0.6514 0.0628 Er
0.8065 0.8065 0.6534 Er
0.8259 0.3532 0.7883 Er
```

Uncorrected energy   -4.432 eV/atom
Energy of formation   0.11 eV per atom
Crystal system   monoclinic

Entry from Alexandria: a relaxed AcDyEr2 crystal (PBE).

The structure in POSCAR format:
```
AcDyEr2
1.0
1.7772 1.0261 12.6083
-1.7772 1.0261 12.6083
0.0000 -2.0522 12.6083
Ac Dy Er
1 1 2
direct
0.0000 0.0000 0.0000 Ac
0.5000 0.5000 0.5000 Dy
0.0928 0.0928 0.0928 Er
0.9072 0.9072 0.9072 Er
```

Uncorrected energy   -4.264 eV/atom
Energy of formation   0.19 eV per atom
Crystal system   trigonal
Energy above the most stable polymorph in this dataset   128 meV per atom

Entry from Alexandria: a relaxed AcDy8Er6 crystal (PBE).

The structure in POSCAR format:
```
AcDy8Er6
1.0
4.4973 2.5965 6.9102
-4.4973 2.5965 6.9102
0.0000 -5.1930 6.9102
Ac Dy Er
1 8 6
direct
0.0000 0.0000 0.0000 Ac
0.1114 0.7441 0.7180 Dy
0.2559 0.2820 0.8886 Dy
0.2820 0.8886 0.2559 Dy
0.4230 0.4230 0.4230 Dy
0.5770 0.5770 0.5770 Dy
0.7180 0.1114 0.7441 Dy
0.7441 0.7180 0.1114 Dy
0.8886 0.2559 0.2820 Dy
0.1014 0.2434 0.5321 Er
0.2434 0.5321 0.1014 Er
0.4679 0.8986 0.7566 Er
0.5321 0.1014 0.2434 Er
0.7566 0.4679 0.8986 Er
0.8986 0.7566 0.4679 Er
```

Uncorrected energy   -4.400 eV/atom
Energy of formation   0.15 eV per atom
Crystal system   trigonal
Energy above the most stable polymorph in this dataset   0 meV per atom

Entry from Alexandria: a relaxed AcGdDyEr crystal (PBE).

The structure in POSCAR format:
```
AcGdDyEr
1.0
0.0000 4.1169 4.1169
4.1169 0.0000 4.1169
4.1169 4.1169 0.0000
Ac Gd Dy Er
1 1 1 1
direct
0.0000 0.0000 0.0000 Ac
0.5000 0.5000 0.5000 Gd
0.2500 0.2500 0.2500 Dy
0.7500 0.7500 0.7500 Er
```

Uncorrected energy   -6.726 eV/atom
Energy of formation   0.11 eV per atom
Crystal system   cubic

Entry from Alexandria: a relaxed AcDy2ErHg4 crystal (PBE).

The structure in POSCAR format:
```
AcDy2ErHg4
1.0
2.6458 1.5275 9.1559
-2.6458 1.5275 9.1559
0.0000 -3.0551 9.1559
Ac Dy Er Hg
1 2 1 4
direct
0.0000 0.0000 0.0000 Ac
0.2445 0.2445 0.2445 Dy
0.7555 0.7555 0.7555 Dy
0.5000 0.5000 0.5000 Er
0.1287 0.1287 0.1287 Hg
0.3863 0.3863 0.3863 Hg
0.6137 0.6137 0.6137 Hg
0.8713 0.8713 0.8713 Hg
```

Uncorrected energy   -2.831 eV/atom
Energy of formation   -0.45 eV per atom
Crystal system   trigonal